This record from Alexandria describes crystalline TmScV2O8 at its relaxed geometry. The functional is GGA+U.

Cell: 7.0026 7.0026 6.2440 Å, 90.00 90.00 90.00°
Closest atoms and distances in Å follow each position.
Space group I-4m2 (No. 119)
One atom of each set of equivalent atoms:
Tm 0.0000 0.0000 0.0000 x2  8 O 2.24-2.43
Sc 0.0000 0.5000 0.2500 x2  8 O 2.20-2.38
V 0.0000 0.0000 0.5000 x2  4 O 1.74
V 0.0000 0.5000 0.7500 x2  4 O 1.73
O 0.0000 0.1928 0.3239 x8  1 V 1.74
O 0.0000 0.3134 0.9322 x8  1 V 1.73

Values from the calculation:
The value obtained for the total energy is -194.47 eV for the cell shown. The total magnetization comes out at 0.00 μB per atom.